(1)
An optimized crystal structure of Zn2SiTc. Source: the Alexandria database, functional PBE.

a b c (Å): 4.3336 4.3336 4.3336
angles (deg): 60.00 60.00 60.00
Last column: nearest neighbours and their distance in Å.
Sites, in units of the cell vectors:
Si: 0.0000 0.0000 0.0000  8 Zn 2.65
Zn: 0.2500 0.2500 0.2500  4 Tc 2.65, 4 Si 2.65
Zn: 0.7500 0.7500 0.7500  4 Si 2.65, 4 Tc 2.65
Tc: 0.5000 0.5000 0.5000  8 Zn 2.65

Calculated values
- energy relative to the elements, uncorrected (eV/atom) = 0.469
- total energy (Ha/atom) = -0.151
- total magnetic moment (Bohr magnetons per cell) = 0.00

=====

(2)
An optimized crystal structure of ZnSiTc2. Source: the Alexandria database, functional PBE.

a b c (Å): 4.2859 4.2859 4.2859
angles (deg): 60.00 60.00 60.00
Last column: nearest neighbours and their distance in Å.
Sites, in units of the cell vectors:
Tc: 0.0000 0.0000 0.0000  4 Tc 2.62, 4 Zn 2.62
Si: 0.5000 0.5000 0.5000  4 Tc 2.62, 4 Zn 2.62
Zn: 0.7500 0.7500 0.7500  4 Si 2.62, 4 Tc 2.62
Tc: 0.2500 0.2500 0.2500  4 Si 2.62, 4 Tc 2.62

Calculated values
- energy relative to the elements, uncorrected (eV/atom) = 0.079
- total energy (Ha/atom) = -0.249
- total magnetic moment (Bohr magnetons per cell) = 0.00

=====

(3)
An optimized crystal structure of ZnSiTc2. Source: the Alexandria database, functional PBE.

a b c (Å): 3.0564 3.0564 5.8847
angles (deg): 90.00 90.00 90.00
Last column: nearest neighbours and their distance in Å.
Sites, in units of the cell vectors:
Zn: 0.0000 0.0000 0.5101  4 Si 2.58, 5 Tc 2.62-2.77
Si: 0.5000 0.5000 0.7509  4 Tc 2.55, 4 Zn 2.58
Tc: 0.0000 0.0000 0.9814  4 Si 2.55, 4 Tc 2.70, 1 Zn 2.77
Tc: 0.5000 0.5000 0.2576  4 Zn 2.62, 4 Tc 2.70, 1 Si 2.90

Calculated values
- energy relative to the elements, uncorrected (eV/atom) = -0.139
- total energy (Ha/atom) = -0.257
- total magnetic moment (Bohr magnetons per cell) = 0.00

=====

(4)
An optimized crystal structure of ZnSiTc2. Source: the Alexandria database, functional PBE.

a b c (Å): 3.8132 2.8091 5.6807
angles (deg): 68.81 90.00 90.00
Last column: nearest neighbours and their distance in Å.
Sites, in units of the cell vectors:
Tc: 0.0000 0.8616 0.9871  2 Si 2.42, 2 Zn 2.64
Si: 0.5000 0.7500 0.7500  4 Tc 2.42, 2 Zn 2.68
Zn: 0.5000 0.2500 0.2500  8 Tc 2.64-2.87, 2 Si 2.68, 2 Zn 2.81
Tc: 0.0000 0.6384 0.5129  2 Si 2.42, 2 Zn 2.64

Calculated values
- energy relative to the elements, uncorrected (eV/atom) = -0.037
- total energy (Ha/atom) = -0.253
- total magnetic moment (Bohr magnetons per cell) = 0.00

=====

(5)
An optimized crystal structure of Zn2SiTc. Source: the Alexandria database, functional PBE.

a b c (Å): 4.6890 4.6890 4.8182
angles (deg): 83.54 83.54 33.00
Last column: nearest neighbours and their distance in Å.
Sites, in units of the cell vectors:
Zn: 0.9917 0.9917 0.9840  5 Zn 2.56-2.71, 4 Si 2.69-2.83, 2 Tc 2.76
Tc: 0.2536 0.2536 0.2773  3 Si 2.58-2.62, 2 Tc 2.66, 7 Zn 2.74-2.89
Zn: 0.7429 0.7429 0.7762  5 Zn 2.56-2.71, 1 Si 2.71, 4 Tc 2.74-2.77
Si: 0.5118 0.5118 0.4624  3 Tc 2.58-2.62, 2 Si 2.66, 5 Zn 2.69-2.83

Calculated values
- energy relative to the elements, uncorrected (eV/atom) = 0.051
- total energy (Ha/atom) = -0.167
- total magnetic moment (Bohr magnetons per cell) = 0.00

=====

(6)
An optimized crystal structure of Zn2SiTc. Source: the Alexandria database, functional PBE.

a b c (Å): 4.8890 2.6504 4.4298
angles (deg): 90.95 90.00 90.00
Last column: nearest neighbours and their distance in Å.
Sites, in units of the cell vectors:
Zn: 0.0000 0.4758 0.5007  6 Zn 2.51-2.67, 2 Si 2.75, 2 Tc 2.77
Zn: 0.0000 0.0242 0.9993  6 Zn 2.51-2.67, 2 Si 2.75, 2 Tc 2.77
Si: 0.5000 0.2500 0.2500  4 Tc 2.56-2.60, 2 Si 2.65, 4 Zn 2.75
Tc: 0.5000 0.7500 0.7500  4 Si 2.56-2.60, 2 Tc 2.65, 4 Zn 2.77

Calculated values
- energy relative to the elements, uncorrected (eV/atom) = 0.025
- total energy (Ha/atom) = -0.168
- total magnetic moment (Bohr magnetons per cell) = 0.00

=====

(7)
An optimized crystal structure of Zn2SiTc. Source: the Alexandria database, functional PBE.

a b c (Å): 5.1146 4.8518 2.7138
angles (deg): 76.79 80.97 114.44
Last column: nearest neighbours and their distance in Å.
Sites, in units of the cell vectors:
Zn: 0.0000 0.0000 0.0000  4 Zn 2.49-2.71, 2 Tc 2.70, 2 Si 2.70
Tc: 0.5000 0.0000 0.5000  2 Si 2.49, 4 Zn 2.70, 2 Tc 2.71
Zn: 0.0000 0.5000 0.5000  4 Zn 2.49-2.71, 2 Si 2.70, 2 Tc 2.70
Si: 0.5000 0.5000 0.0000  2 Tc 2.49, 4 Zn 2.70, 2 Si 2.71

Calculated values
- energy relative to the elements, uncorrected (eV/atom) = 0.101
- total energy (Ha/atom) = -0.165
- total magnetic moment (Bohr magnetons per cell) = 0.00

=====

(8)
An optimized crystal structure of ZnSiTc2. Source: the Alexandria database, functional PBE.

a b c (Å): 2.9745 2.9745 6.2689
angles (deg): 90.00 90.00 90.00
Last column: nearest neighbours and their distance in Å.
Sites, in units of the cell vectors:
Si: 0.5000 0.5000 0.7500  8 Tc 2.51
Tc: 0.0000 0.0000 0.5307  4 Si 2.51, 4 Zn 2.74, 1 Tc 2.75
Tc: 0.0000 0.0000 0.9693  4 Si 2.51, 4 Zn 2.74, 1 Tc 2.75
Zn: 0.5000 0.5000 0.2500  8 Tc 2.74, 4 Zn 2.97

Calculated values
- energy relative to the elements, uncorrected (eV/atom) = -0.136
- total energy (Ha/atom) = -0.257
- total magnetic moment (Bohr magnetons per cell) = 0.00

=====

(9)
An optimized crystal structure of ZnSiTc2. Source: the Alexandria database, functional PBE.

a b c (Å): 2.7510 2.7510 8.2226
angles (deg): 90.00 90.00 113.59
Last column: nearest neighbours and their distance in Å.
Sites, in units of the cell vectors:
Zn: 0.5000 0.5000 0.2500  4 Tc 2.67, 4 Zn 2.75
Tc: 0.0000 0.0000 0.5181  2 Si 2.43, 2 Zn 2.67
Si: 0.5000 0.5000 0.7500  4 Tc 2.43
Tc: 0.0000 0.0000 0.9819  2 Si 2.43, 2 Zn 2.67

Calculated values
- energy relative to the elements, uncorrected (eV/atom) = 0.012
- total energy (Ha/atom) = -0.252
- total magnetic moment (Bohr magnetons per cell) = 0.00

=====

(10)
An optimized crystal structure of Zn2SiTc. Source: the Alexandria database, functional PBE.

a b c (Å): 4.7638 4.7638 4.7638
angles (deg): 133.88 133.88 67.28
Last column: nearest neighbours and their distance in Å.
Sites, in units of the cell vectors:
Tc: 0.7500 0.2500 0.5000  8 Zn 2.64-2.72, 4 Si 2.72
Zn: 0.2500 0.7500 0.5000  4 Tc 2.64, 4 Si 2.72, 4 Zn 2.72
Zn: 0.0000 0.0000 0.0000  4 Si 2.64, 4 Tc 2.72, 4 Zn 2.72
Si: 0.5000 0.5000 0.0000  8 Zn 2.64-2.72, 4 Tc 2.72

Calculated values
- energy relative to the elements, uncorrected (eV/atom) = -0.080
- total energy (Ha/atom) = -0.171
- total magnetic moment (Bohr magnetons per cell) = 0.59

=====

(11)
An optimized crystal structure of ZnSiTc2. Source: the Alexandria database, functional PBE.

a b c (Å): 3.6988 3.6988 5.6759
angles (deg): 70.98 70.98 60.00
Last column: nearest neighbours and their distance in Å.
Sites, in units of the cell vectors:
Tc: 0.0700 0.0700 0.7901  3 Si 2.40, 3 Zn 2.61
Si: 0.6666 0.6666 0.0002  6 Tc 2.39-2.40, 1 Zn 2.65
Zn: 0.4983 0.4983 0.5050  6 Tc 2.61-2.66, 1 Si 2.65
Tc: 0.2651 0.2651 0.2047  3 Si 2.39, 3 Zn 2.66

Calculated values
- energy relative to the elements, uncorrected (eV/atom) = 0.181
- total energy (Ha/atom) = -0.245
- total magnetic moment (Bohr magnetons per cell) = 0.00

=====

(12)
An optimized crystal structure of ZnSiTc2. Source: the Alexandria database, functional PBE.

a b c (Å): 2.9530 4.6120 4.1546
angles (deg): 90.00 90.00 90.00
Last column: nearest neighbours and their distance in Å.
Sites, in units of the cell vectors:
Zn: 0.5000 0.0000 0.5000  4 Tc 2.55, 4 Si 2.74
Si: 0.0000 0.5000 0.5000  4 Tc 2.55, 4 Zn 2.74
Tc: 0.5000 0.5000 0.0000  4 Si 2.55, 4 Tc 2.74
Tc: 0.0000 0.0000 0.0000  4 Zn 2.55, 4 Tc 2.74

Calculated values
- energy relative to the elements, uncorrected (eV/atom) = 0.101
- total energy (Ha/atom) = -0.248
- total magnetic moment (Bohr magnetons per cell) = 0.00

=====

(13)
An optimized crystal structure of Zn3SiTc. Source: the Alexandria database, functional PBE.

a b c (Å): 4.7809 4.7809 4.7809
angles (deg): 90.00 90.00 90.00
Last column: nearest neighbours and their distance in Å.
Sites, in units of the cell vectors:
Tc: 0.0000 0.0000 0.0000  6 Zn 2.39
Zn: 0.5000 0.0000 0.0000  2 Tc 2.39
Zn: 0.0000 0.0000 0.5000  2 Tc 2.39
Si: 0.5000 0.5000 0.5000  12 Zn 3.38
Zn: 0.0000 0.5000 0.0000  2 Tc 2.39

Calculated values
- energy relative to the elements, uncorrected (eV/atom) = 1.049
- total energy (Ha/atom) = -0.106
- total magnetic moment (Bohr magnetons per cell) = 0.25

=====

(14)
An optimized crystal structure of Zn2SiTc. Source: the Alexandria database, functional PBE.

a b c (Å): 2.7563 2.7563 8.3956
angles (deg): 90.00 90.00 110.88
Last column: nearest neighbours and their distance in Å.
Sites, in units of the cell vectors:
Zn: 0.5000 0.5000 0.2533  6 Zn 2.68-2.76, 2 Si 2.70
Tc: 0.5000 0.5000 0.7369  2 Si 2.43, 2 Zn 2.67
Zn: 0.0000 0.0000 0.9941  2 Tc 2.67, 6 Zn 2.68-2.76
Si: 0.0000 0.0000 0.5156  2 Tc 2.43, 2 Zn 2.70

Calculated values
- energy relative to the elements, uncorrected (eV/atom) = 0.161
- total energy (Ha/atom) = -0.163
- total magnetic moment (Bohr magnetons per cell) = 0.00